(1)
# Ac4AgPd2 PBE optimized geometry
data_Ac4AgPd2
_chemical_formula_sum 'Ac32 Ag8 Pd16'
_cell_length_a 12.8744
_cell_length_b 14.9863
_cell_length_c 9.3893
_cell_angle_alpha 90.00
_cell_angle_beta 90.00
_cell_angle_gamma 90.00
_space_group_name_H-M_alt 'F d d 2'
_space_group_IT_number 43
_space_group_name_Hall 'F 2 -2d'
loop_
_atom_site_label
_atom_site_fract_x
_atom_site_fract_y
_atom_site_fract_z
Ac1 0.0471 0.3776 0.0000
Ac2 0.1245 0.0748 0.1472
Ag1 0.0000 0.0000 0.8222
Pd1 0.0564 0.2897 0.7043
# Formation energy, meV/atom: -502
# Spin magnetization, μB per formula unit: 0.00
# Energy relative to the lowest polymorph listed for this composition, meV per atom: 0
# Fermi-level density of states, states/eV/f.u.: 7.52

***

(2)
# AcAg2Pd PBE optimized geometry
data_AcAg2Pd
_chemical_formula_sum 'Ac8 Ag16 Pd8'
_cell_length_a 16.5064
_cell_length_b 7.9667
_cell_length_c 5.6837
_cell_angle_alpha 90.00
_cell_angle_beta 90.00
_cell_angle_gamma 90.00
_space_group_name_H-M_alt 'P n m a'
_space_group_IT_number 62
loop_
_space_group_symop_operation_xyz
'x,y,z'
'-x,-y,-z'
'-x+1/2,-y,z+1/2'
'x+1/2,y,-z+1/2'
'x+1/2,-y+1/2,-z+1/2'
'-x+1/2,y+1/2,z+1/2'
'-x,y+1/2,-z'
'x,-y+1/2,z'
loop_
_atom_site_label
_atom_site_fract_x
_atom_site_fract_y
_atom_site_fract_z
Ac1 0.1057 0.2500 0.2224
Ac2 0.1423 0.7500 0.4524
Ag1 0.0354 0.0583 0.7292
Ag2 0.2133 0.5561 0.9308
Pd1 0.0690 0.7500 0.9695
Pd2 0.1822 0.2500 0.7056
# Formation energy, meV/atom: -432
# Spin magnetization, μB per formula unit: 0.00
# Energy relative to the lowest polymorph listed for this composition, meV per atom: 6
# Fermi-level density of states, states/eV/f.u.: 1.78

***

(3)
# Ac3AgPd2 PBE optimized geometry
data_Ac3AgPd2
_chemical_formula_sum 'Ac18 Ag6 Pd12'
_cell_length_a 8.1163
_cell_length_b 8.1163
_cell_length_c 20.0769
_cell_angle_alpha 90.00
_cell_angle_beta 90.00
_cell_angle_gamma 120.00
_space_group_name_H-M_alt 'R -3 c'
_space_group_IT_number 167
_space_group_name_Hall '-R 3 2"c'
loop_
_atom_site_label
_atom_site_fract_x
_atom_site_fract_y
_atom_site_fract_z
Ac1 0.0000 0.2945 0.2500
Ag1 0.0000 0.0000 0.0000
Pd1 0.0000 0.0000 0.1458
# Formation energy, meV/atom: -564
# Spin magnetization, μB per formula unit: 0.00
# Energy relative to the lowest polymorph listed for this composition, meV per atom: 0
# Fermi-level density of states, states/eV/f.u.: 5.22

***

(4)
# AcAg2Pd3 PBE optimized geometry
data_AcAg2Pd3
_chemical_formula_sum 'Ac4 Ag8 Pd12'
_cell_length_a 4.1417
_cell_length_b 4.1417
_cell_length_c 30.3871
_cell_angle_alpha 90.00
_cell_angle_beta 90.00
_cell_angle_gamma 90.00
_space_group_name_H-M_alt 'I 4/m m m'
_space_group_IT_number 139
_space_group_name_Hall '-I 4 2'
loop_
_atom_site_label
_atom_site_fract_x
_atom_site_fract_y
_atom_site_fract_z
Ac1 0.0000 0.0000 0.1436
Ag1 0.0000 0.0000 0.4001
Ag2 0.0000 0.5000 0.2500
Pd1 0.0000 0.0000 0.3122
Pd2 0.0000 0.5000 0.0435
# Formation energy, meV/atom: -165
# Spin magnetization, μB per formula unit: 0.00
# Energy relative to the lowest polymorph listed for this composition, meV per atom: 214
# Fermi-level density of states, states/eV/f.u.: 3.57

***

(5)
# AcAgPd PBE optimized geometry
data_AcAgPd
_chemical_formula_sum 'Ac1 Ag1 Pd1'
_cell_length_a 4.7452
_cell_length_b 4.7452
_cell_length_c 3.9749
_cell_angle_alpha 90.00
_cell_angle_beta 90.00
_cell_angle_gamma 120.00
_space_group_name_H-M_alt 'P -6 m 2'
_space_group_IT_number 187
_space_group_name_Hall 'P -6 2'
loop_
_atom_site_label
_atom_site_fract_x
_atom_site_fract_y
_atom_site_fract_z
Ac1 0.0000 0.0000 0.0000
Ag1 0.6667 0.3333 0.5000
Pd1 0.3333 0.6667 0.5000
# Formation energy, meV/atom: -556
# Spin magnetization, μB per formula unit: 0.00
# Energy relative to the lowest polymorph listed for this composition, meV per atom: 41
# Fermi-level density of states, states/eV/f.u.: 1.29

***

(6)
# Ac3AgPd2 PBE optimized geometry
data_Ac3AgPd2
_chemical_formula_sum 'Ac6 Ag2 Pd4'
_cell_length_a 4.1998
_cell_length_b 19.4223
_cell_length_c 4.6611
_cell_angle_alpha 90.00
_cell_angle_beta 90.00
_cell_angle_gamma 90.00
_space_group_name_H-M_alt 'C m m m'
_space_group_IT_number 65
_space_group_name_Hall '-C 2 2'
loop_
_atom_site_label
_atom_site_fract_x
_atom_site_fract_y
_atom_site_fract_z
Ac1 0.0000 0.0000 0.0000
Ac2 0.0000 0.1593 0.5000
Ag1 0.0000 0.5000 0.5000
Pd1 0.0000 0.3814 0.0000
# Formation energy, meV/atom: -424
# Spin magnetization, μB per formula unit: 0.00
# Energy relative to the lowest polymorph listed for this composition, meV per atom: 140
# Fermi-level density of states, states/eV/f.u.: 5.51

***

(7)
# Ac2AgPd5 PBE optimized geometry
data_Ac2AgPd5
_chemical_formula_sum 'Ac4 Ag2 Pd10'
_cell_length_a 6.2470
_cell_length_b 6.2470
_cell_length_c 8.4524
_cell_angle_alpha 90.00
_cell_angle_beta 90.00
_cell_angle_gamma 90.00
_space_group_name_H-M_alt 'I 4/m m m'
_space_group_IT_number 139
_space_group_name_Hall '-I 4 2'
loop_
_atom_site_label
_atom_site_fract_x
_atom_site_fract_y
_atom_site_fract_z
Ac1 0.0000 0.5000 0.0000
Ag1 0.0000 0.0000 0.0000
Pd1 0.0000 0.0000 0.5000
Pd2 0.2500 0.2500 0.2500
# Formation energy, meV/atom: -648
# Spin magnetization, μB per formula unit: 0.00
# Fermi-level density of states, states/eV/f.u.: 1.43

***

(8)
# AcPmAgPd PBE optimized geometry
data_AcPmAgPd
_chemical_formula_sum 'Ac2 Pm2 Ag2 Pd2'
_cell_length_a 4.9015
_cell_length_b 4.0525
_cell_length_c 11.2275
_cell_angle_alpha 90.00
_cell_angle_beta 90.00
_cell_angle_gamma 90.00
_space_group_name_H-M_alt 'A m m 2'
_space_group_IT_number 38
loop_
_space_group_symop_operation_xyz
'x,y,z'
'-x,-y,z'
'-x,y,z'
'x,-y,z'
'x,y+1/2,z+1/2'
'-x,-y+1/2,z+1/2'
'-x,y+1/2,z+1/2'
'x,-y+1/2,z+1/2'
loop_
_atom_site_label
_atom_site_fract_x
_atom_site_fract_y
_atom_site_fract_z
Ac1 0.0000 0.0000 0.0000
Pm1 0.5000 0.0000 0.2775
Ag1 0.5000 0.0000 0.5655
Pd1 0.0000 0.0000 0.7245
# Formation energy, meV/atom: -501
# Spin magnetization, μB per formula unit: 0.00
# Energy relative to the lowest polymorph listed for this composition, meV per atom: 0
# Fermi-level density of states, states/eV/f.u.: 3.17

***

(9)
# AcPmAgPd PBE optimized geometry
data_AcPmAgPd
_chemical_formula_sum 'Ac4 Pm4 Ag4 Pd4'
_cell_length_a 7.5602
_cell_length_b 7.5602
_cell_length_c 7.5602
_cell_angle_alpha 90.00
_cell_angle_beta 90.00
_cell_angle_gamma 90.00
_space_group_name_H-M_alt 'F -4 3 m'
_space_group_IT_number 216
_space_group_name_Hall 'F -4 2 3'
loop_
_atom_site_label
_atom_site_fract_x
_atom_site_fract_y
_atom_site_fract_z
Ac1 0.0000 0.0000 0.0000
Pm1 0.0000 0.0000 0.5000
Ag1 0.2500 0.2500 0.2500
Pd1 0.2500 0.2500 0.7500
# Formation energy, meV/atom: -455
# Spin magnetization, μB per formula unit: 0.00
# Energy relative to the lowest polymorph listed for this composition, meV per atom: 46
# Fermi-level density of states, states/eV/f.u.: 3.64

***

(10)
# AcPrAgPd PBE optimized geometry
data_AcPrAgPd
_chemical_formula_sum 'Ac2 Pr2 Ag2 Pd2'
_cell_length_a 4.8192
_cell_length_b 4.0803
_cell_length_c 11.5575
_cell_angle_alpha 90.00
_cell_angle_beta 90.00
_cell_angle_gamma 90.00
_space_group_name_H-M_alt 'A m m 2'
_space_group_IT_number 38
loop_
_space_group_symop_operation_xyz
'x,y,z'
'-x,-y,z'
'-x,y,z'
'x,-y,z'
'x,y+1/2,z+1/2'
'-x,-y+1/2,z+1/2'
'-x,y+1/2,z+1/2'
'x,-y+1/2,z+1/2'
loop_
_atom_site_label
_atom_site_fract_x
_atom_site_fract_y
_atom_site_fract_z
Ac1 0.0000 0.0000 0.0000
Pr1 0.5000 0.0000 0.2741
Ag1 0.0000 0.0000 0.7189
Pd1 0.5000 0.0000 0.5594
# Formation energy, meV/atom: -507
# Spin magnetization, μB per formula unit: 0.00
# Energy relative to the lowest polymorph listed for this composition, meV per atom: 0
# Fermi-level density of states, states/eV/f.u.: 3.82

***

(11)
# AcPrAgPd PBE optimized geometry
data_AcPrAgPd
_chemical_formula_sum 'Ac4 Pr4 Ag4 Pd4'
_cell_length_a 7.6064
_cell_length_b 7.6064
_cell_length_c 7.6064
_cell_angle_alpha 90.00
_cell_angle_beta 90.00
_cell_angle_gamma 90.00
_space_group_name_H-M_alt 'F -4 3 m'
_space_group_IT_number 216
_space_group_name_Hall 'F -4 2 3'
loop_
_atom_site_label
_atom_site_fract_x
_atom_site_fract_y
_atom_site_fract_z
Ac1 0.0000 0.0000 0.0000
Pr1 0.0000 0.0000 0.5000
Ag1 0.2500 0.2500 0.2500
Pd1 0.2500 0.2500 0.7500
# Formation energy, meV/atom: -447
# Spin magnetization, μB per formula unit: 0.00
# Energy relative to the lowest polymorph listed for this composition, meV per atom: 60
# Fermi-level density of states, states/eV/f.u.: 3.89

***

(12)
# Ac2AgPdPt PBE optimized geometry
data_Ac2AgPdPt
_chemical_formula_sum 'Ac8 Ag4 Pd4 Pt4'
_cell_length_a 8.4962
_cell_length_b 14.7308
_cell_length_c 4.6184
_cell_angle_alpha 90.00
_cell_angle_beta 90.00
_cell_angle_gamma 90.00
_space_group_name_H-M_alt 'C m c m'
_space_group_IT_number 63
_space_group_name_Hall '-C 2c 2'
loop_
_atom_site_label
_atom_site_fract_x
_atom_site_fract_y
_atom_site_fract_z
Ac1 0.2253 0.1296 0.2500
Ag1 0.0000 0.3445 0.2500
Pd1 0.0000 0.0492 0.7500
Pt1 0.0000 0.2323 0.7500
# Formation energy, meV/atom: -689
# Spin magnetization, μB per formula unit: 0.00
# Fermi-level density of states, states/eV/f.u.: 3.51

***

Q: formation energy of number 11 (AcPrAgPd)?
A: -447 meV/atom

***

What did the seventh record say?
# Ac2AgPd5 PBE optimized geometry
data_Ac2AgPd5
_chemical_formula_sum 'Ac4 Ag2 Pd10'
_cell_length_a 6.2470
_cell_length_b 6.2470
_cell_length_c 8.4524
_cell_angle_alpha 90.00
_cell_angle_beta 90.00
_cell_angle_gamma 90.00
_space_group_name_H-M_alt 'I 4/m m m'
_space_group_IT_number 139
_space_group_name_Hall '-I 4 2'
loop_
_atom_site_label
_atom_site_fract_x
_atom_site_fract_y
_atom_site_fract_z
Ac1 0.0000 0.5000 0.0000
Ag1 0.0000 0.0000 0.0000
Pd1 0.0000 0.0000 0.5000
Pd2 0.2500 0.2500 0.2500
# Formation energy, meV/atom: -648
# Spin magnetization, μB per formula unit: 0.00
# Fermi-level density of states, states/eV/f.u.: 1.43